Record 1
Below is a relaxed Sr2TcCl crystal, with properties calculated at the PBE-GGA level.

```
4
Lattice="0.000 3.850 3.850 3.850 0.000 3.850 3.850 3.850 0.000" Properties=species:S:1:pos:R:3 pbc="T T T"
Sr 1.925 1.925 1.925
Sr 5.776 5.776 5.776
Tc 3.850 3.850 3.850
Cl 0.000 0.000 0.000
```

## Properties
- calculated volume (Å³/cell) = 114.2
- total DFT energy (no corrections) (eV/cell) = -15.11
- energy above the lowest structure with this stoichiometry (meV per atom) = 399
- E_form (uncorrected) (eV per formula unit) = 0.464
- total magnetic moment (μB/f.u.) = 2.0
- ρ (g/cm3) = 4.49
- density of states at the Fermi level (states/eV per cell) = 8.204



Record 2
Below is a relaxed Sr2TcCl crystal, with properties calculated at the PBE-GGA level.

```
4
Lattice="7.111 0.043 -0.137 4.381 5.601 0.137 -5.205 -3.923 2.846" Properties=species:S:1:pos:R:3 pbc="T T T"
Cl 2.362 2.201 1.492
Sr 0.349 0.171 0.000
Sr 3.710 -0.586 1.355
Tc 5.612 2.756 0.000
```

## Properties
- calculated volume (Å³/cell) = 115.0
- total DFT energy (no corrections) (eV/cell) = -15.38
- energy above the lowest structure with this stoichiometry (meV per atom) = 332
- E_form (uncorrected) (eV per formula unit) = 0.197
- total magnetic moment (μB/f.u.) = 1.9
- ρ (g/cm3) = 4.46
- density of states at the Fermi level (states/eV per cell) = 2.882



Record 3
Below is a relaxed SrTcCl4 crystal, with properties calculated at the PBE-GGA level.

```
6
Lattice="-3.095 2.597 4.481 -2.147 5.599 -0.665 -5.938 0.907 -0.565" Properties=species:S:1:pos:R:3 pbc="T T T"
Sr -8.385 6.827 2.438
Tc 0.000 0.000 0.000
Cl -5.741 4.713 3.465
Cl -7.166 3.865 0.934
Cl -5.265 6.219 0.884
Cl -4.188 3.410 1.218
```

## Properties
- calculated volume (Å³/cell) = 155.3
- total DFT energy (no corrections) (eV/cell) = -18.43
- E_form (uncorrected) (eV per formula unit) = 1.009
- total magnetic moment (μB/f.u.) = 5.8
- ρ (g/cm3) = 3.50
- density of states at the Fermi level (states/eV per cell) = 8.987



Record 4
Below is a relaxed Sr2TcCl crystal, with properties calculated at the PBE-GGA level.

```
4
Lattice="3.876 -0.054 0.028 2.156 3.221 0.028 1.701 0.893 8.853" Properties=species:S:1:pos:R:3 pbc="T T T"
Cl 5.800 3.045 6.682
Sr 0.035 0.019 0.048
Sr 3.831 2.011 4.406
Tc 1.933 1.015 2.227
```

## Properties
- calculated volume (Å³/cell) = 111.4
- total DFT energy (no corrections) (eV/cell) = -16.33
- energy above the lowest structure with this stoichiometry (meV per atom) = 94
- E_form (uncorrected) (eV per formula unit) = -0.759
- total magnetic moment (μB/f.u.) = 0.7
- ρ (g/cm3) = 4.60
- density of states at the Fermi level (states/eV per cell) = 4.429



Record 5
Below is a relaxed SrTc2Cl crystal, with properties calculated at the PBE-GGA level.

```
4
Lattice="6.760 0.025 0.262 5.835 3.413 0.262 0.877 0.240 4.234" Properties=species:S:1:pos:R:3 pbc="T T T"
Cl 10.104 2.759 3.568
Sr 3.368 0.920 1.189
Tc 0.177 0.048 0.310
Tc 6.559 1.791 2.069
```

## Properties
- calculated volume (Å³/cell) = 96.2
- total DFT energy (no corrections) (eV/cell) = -23.47
- energy above the lowest structure with this stoichiometry (meV per atom) = 258
- E_form (uncorrected) (eV per formula unit) = 0.786
- total magnetic moment (μB/f.u.) = 0.0
- ρ (g/cm3) = 5.51
- density of states at the Fermi level (states/eV per cell) = 4.104



Record 6
Below is a relaxed Sr2TcCl crystal, with properties calculated at the PBE-GGA level.

```
4
Lattice="-2.578 4.141 2.433 -3.622 2.971 -2.787 -5.313 -0.396 1.151" Properties=species:S:1:pos:R:3 pbc="T T T"
Cl -5.756 3.358 0.399
Sr 0.000 0.000 0.000
Sr -2.878 1.679 0.199
Tc -8.635 5.038 0.598
```

## Properties
- calculated volume (Å³/cell) = 114.5
- total DFT energy (no corrections) (eV/cell) = -13.37
- energy above the lowest structure with this stoichiometry (meV per atom) = 836
- E_form (uncorrected) (eV per formula unit) = 2.210
- total magnetic moment (μB/f.u.) = 2.1
- ρ (g/cm3) = 4.48
- density of states at the Fermi level (states/eV per cell) = 2.332



Record 7
Below is a relaxed SrTc2Cl crystal, with properties calculated at the PBE-GGA level.

```
4
Lattice="3.403 0.000 0.000 0.000 3.421 -0.072 0.000 1.910 8.188" Properties=species:S:1:pos:R:3 pbc="T T T"
Cl 0.000 2.044 4.468
Sr 1.702 3.790 6.067
Tc 0.000 0.219 0.507
Tc 1.702 1.943 1.131
```

## Properties
- calculated volume (Å³/cell) = 95.8
- total DFT energy (no corrections) (eV/cell) = -24.50
- energy above the lowest structure with this stoichiometry (meV per atom) = 0
- E_form (uncorrected) (eV per formula unit) = -0.244
- total magnetic moment (μB/f.u.) = 0.0
- ρ (g/cm3) = 5.53
- density of states at the Fermi level (states/eV per cell) = 2.807



Record 8
Below is a relaxed Sr2TcCl crystal, with properties calculated at the PBE-GGA level.

```
4
Lattice="-2.820 -3.547 -4.253 -3.548 -3.337 3.859 0.804 5.777 -2.144" Properties=species:S:1:pos:R:3 pbc="T T T"
Cl -2.964 -0.501 0.759
Sr -0.130 -0.141 -0.008
Sr -3.054 -3.301 -0.189
Tc -2.600 -0.606 -3.297
```

## Properties
- calculated volume (Å³/cell) = 134.4
- total DFT energy (no corrections) (eV/cell) = -15.09
- energy above the lowest structure with this stoichiometry (meV per atom) = 406
- E_form (uncorrected) (eV per formula unit) = 0.489
- total magnetic moment (μB/f.u.) = 2.8
- ρ (g/cm3) = 3.81
- density of states at the Fermi level (states/eV per cell) = 3.667